# 1
Entry from Alexandria via LeMat-Bulk: an optimized crystal structure of TbPm7Ho3 (PBE).

Values from the calculation:
Magnetic moment: 0.000 μB per atom
DFT formation energy: 0.181 eV per atom

Lattice parameters (Å, degrees): 19.1353 7.1972 12.5056 90.00 115.93 90.00
Space group C2/c (No. 15)
Unique sites:
Tb 0.0000 0.0000 0.0000 x4
Pm 0.0000 0.2273 0.2500 x4
Pm 0.1605 0.4952 0.7748 x8
Pm 0.1676 0.2476 0.0285 x8
Pm 0.1681 0.2488 0.5296 x8
Ho 0.0000 0.5000 0.0000 x4
Ho 0.1690 0.0017 0.2755 x8

# 2
Entry from Alexandria via LeMat-Bulk: an optimized crystal structure of Tb2Pm2Ho5 (PBE).

Values from the calculation:
Magnetic moment: 0.000 μB per atom
DFT formation energy: 0.004 eV per atom

Lattice parameters (Å, degrees): 3.5972 8.8429 9.4862 103.30 100.92 90.00
Space group P-1 (No. 2)
Unique sites:
Tb 0.1671 0.9999 0.3335 x2
Pm 0.0913 0.3345 0.1847 x2
Ho 0.2412 0.6671 0.4811 x2
Ho 0.4235 0.3317 0.8496 x2
Ho 0.5000 0.0000 0.0000 x1

# 3
Entry from Alexandria via LeMat-Bulk: an optimized crystal structure of TbPm4Ho4 (PBE).

Values from the calculation:
Magnetic moment: 0.000 μB per atom
DFT formation energy: 0.105 eV per atom

Lattice parameters (Å, degrees): 16.8608 5.5994 6.8199 90.00 113.16 90.00
Space group C2/m (No. 12)
Unique sites:
Tb 0.0000 0.0000 0.0000 x2
Pm 0.1335 0.5000 0.9601 x4
Pm 0.2190 0.0000 0.2865 x4
Ho 0.0725 0.5000 0.3771 x4
Ho 0.1258 0.0000 0.6781 x4

# 4
Entry from Alexandria via LeMat-Bulk: an optimized crystal structure of Tb2Pm3Ho (PBE).

Values from the calculation:
Magnetic moment: 0.000 μB per atom
DFT formation energy: 0.006 eV per atom

Lattice parameters (Å, degrees): 7.2484 7.2512 8.9577 78.19 78.18 60.12
Space group P-1 (No. 2)
Unique sites:
Tb 0.1369 0.1388 0.1690 x2
Tb 0.1376 0.6391 0.1669 x2
Pm 0.2491 0.2505 0.4984 x2
Pm 0.3610 0.3613 0.8321 x2
Pm 0.3609 0.8614 0.8344 x2
Ho 0.2492 0.7510 0.4989 x2

# 5
Entry from Alexandria via LeMat-Bulk: an optimized crystal structure of TbPm4Ho4 (PBE).

Values from the calculation:
Magnetic moment: 0.000 μB per atom
DFT formation energy: 0.019 eV per atom

Lattice parameters (Å, degrees): 10.7602 10.7602 5.0598 90.00 90.00 90.00
Space group I4/mmm (No. 139)
Unique sites:
Tb 0.0000 0.0000 0.0000 x2
Pm 0.0000 0.3311 0.0000 x8
Ho 0.1660 0.1660 0.5000 x8

# 6
Entry from Alexandria via LeMat-Bulk: an optimized crystal structure of Tb6PmHo4 (PBE).

Values from the calculation:
Magnetic moment: 0.000 μB per atom
DFT formation energy: 0.421 eV per atom

Lattice parameters (Å, degrees): 7.5506 7.5506 13.2398 90.00 90.00 90.00
Space group I-42m (No. 121)
Unique sites:
Tb 0.0000 0.5000 0.0000 x4
Tb 0.2373 0.2373 0.1867 x8
Pm 0.0000 0.0000 0.0000 x2
Ho 0.1636 0.1636 0.4213 x8